CsCd12Hg6: relaxed, PBE.

a b c (Å): 13.1876 13.1876 10.2882
angles (deg): 90.00 90.00 120.00
Space group R-3m (No. 166, hexagonal axes)
Unique sites:
Cs 0.0000 0.0000 0.0000 [3 per cell]
Cd 0.0000 0.3895 0.5000 [18 per cell]
Cd 0.0810 0.1619 0.3308 [18 per cell]
Hg 0.0303 0.5152 0.2470 [18 per cell]

Calculated values
As for the distance to the lowest polymorph of the same formula: 0.000 eV per atom. The formation enthalpy at 0 K is -0.005 eV/atom.

=====

Ti3NiS: relaxed, PBE.

a b c (Å): 4.419 4.419 4.419
angles (deg): 90.00 90.00 90.00
Space group Pm-3m (No. 221)
Unique sites:
Ti 0.000 0.000 0.500 [3 per cell]
Ni 0.500 0.500 0.500 [1 per cell]
S 0.000 0.000 0.000 [1 per cell]

Calculated values
As for the distance to the lowest polymorph of the same formula: 0.000 eV per atom. For the uncorrected formation energy, the calculation gives -194.5 meV/atom.

=====

Sc7Ta: relaxed, PBE.

a b c (Å): 9.018 9.018 9.018
angles (deg): 90.00 90.00 90.00
Space group Fm-3m (No. 225)
Unique sites:
Sc 0.000 0.000 0.000 [4 per cell]
Sc 0.000 0.250 0.250 [24 per cell]
Ta 0.000 0.000 0.500 [4 per cell]

Calculated values
The formation enthalpy at 0 K is 0.122 eV/atom.

=====

P2Ru2SeN: relaxed, PBE.

a b c (Å): 3.986 6.857 6.605
angles (deg): 90.00 104.19 90.00
Space group C2 (No. 5)
Unique sites:
P 0.123 0.000 0.366 [4 per cell]
Ru 0.147 0.295 0.209 [4 per cell]
Se 0.000 0.634 0.000 [2 per cell]
N 0.000 0.394 0.500 [2 per cell]

Calculated values
As for the distance to the lowest polymorph of the same formula: 0.202 eV per atom. For the uncorrected formation energy, the calculation gives -19.0 meV/atom.

=====

TiZn: relaxed, PBE.

a b c (Å): 7.5424 7.5424 4.2546
angles (deg): 90.00 90.00 120.00
Space group P6_3/m (No. 176)
Unique sites:
Ti 0.1101 0.6347 0.2500 [6 per cell]
Zn 0.0490 0.8107 0.7500 [6 per cell]

Calculated values
The formation enthalpy at 0 K is 0.254 eV/atom.

=====

Li2MnGa6: relaxed, PBE.

a b c (Å): 6.065 4.050 6.870
angles (deg): 90.00 116.05 90.00
Space group P2/m (No. 10)
Unique sites:
Li 0.206 0.000 0.413 [2 per cell]
Mn 0.000 0.500 0.000 [1 per cell]
Ga 0.141 0.500 0.706 [2 per cell]
Ga 0.273 0.000 0.999 [2 per cell]
Ga 0.434 0.500 0.294 [2 per cell]

Calculated values
The formation enthalpy at 0 K is -0.146 eV/atom.

=====

| no. | density (g/cm3) |
| --- | --- |
| 1 | 8.633 |
| 2 | 4.511 |
| 3 | 4.489 |
| 4 | 6.775 |
| 5 | 5.384 |
| 6 | 5.336 |